1.
Density functional theory data (PBEsol) for crystalline K3Mg at its relaxed geometry.

## Properties
Formation enthalpy at 0 K (meV per atom): 149

Unit cell a=6.6267 b=6.6267 c=6.6267 alpha=60.00 beta=60.00 gamma=60.00
Element x y z (fractional)
K1 0.0000 0.0000 0.0000
K2 0.2500 0.2500 0.2500
K3 0.7500 0.7500 0.7500
Mg1 0.5000 0.5000 0.5000



2.
Density functional theory data (PBEsol) for crystalline KMg2 at its relaxed geometry.

## Properties
Formation enthalpy at 0 K (meV per atom): 294

Unit cell a=10.0328 b=10.0328 c=10.0328 alpha=151.28 beta=151.28 gamma=41.07
Element x y z (fractional)
K1 0.3750 0.6250 0.7500
K2 0.6250 0.3750 0.2500
Mg1 0.0442 0.7942 0.2500
Mg2 0.2058 0.9558 0.2500
Mg3 0.7942 0.0442 0.7500
Mg4 0.9558 0.2058 0.7500



3.
Density functional theory data (PBEsol) for crystalline KMgMn2 at its relaxed geometry.

## Properties
Formation enthalpy at 0 K (meV per atom): 882

Unit cell a=2.8588 b=4.7309 c=7.3004 alpha=90.00 beta=100.35 gamma=90.00
Element x y z (fractional)
K1 0.0000 0.0000 0.0000
Mg1 0.5000 0.0000 0.5000
Mn1 0.2758 0.5000 0.6470
Mn2 0.7242 0.5000 0.3530



4.
Density functional theory data (PBEsol) for crystalline K2MgMo at its relaxed geometry.

## Properties
Formation enthalpy at 0 K (meV per atom): 1048

Unit cell a=5.1409 b=5.1409 c=9.6432 alpha=91.24 beta=91.24 gamma=32.14
Element x y z (fractional)
K1 0.0000 0.0000 0.0000
K2 0.2403 0.2403 0.5960
Mg1 0.4863 0.4863 0.3423
Mo1 0.7518 0.7518 0.2539



5.
Density functional theory data (PBEsol) for crystalline K2MgMo at its relaxed geometry.

## Properties
Formation enthalpy at 0 K (meV per atom): 1215

Unit cell a=6.9789 b=6.9789 c=2.8386 alpha=100.65 beta=100.65 gamma=125.08
Element x y z (fractional)
K1 0.0000 0.5000 0.0000
K2 0.5000 0.0000 0.0000
Mg1 0.0000 0.0000 0.5000
Mo1 0.5000 0.5000 0.5000



6.
Density functional theory data (PBEsol) for crystalline K2MgMo at its relaxed geometry.

## Properties
Formation enthalpy at 0 K (meV per atom): 1313

Unit cell a=4.6698 b=4.6698 c=5.9063 alpha=90.00 beta=90.00 gamma=90.00
Element x y z (fractional)
K1 0.0000 0.5000 0.0000
K2 0.5000 0.0000 0.0000
Mg1 0.0000 0.0000 0.5000
Mo1 0.5000 0.5000 0.5000



7.
Density functional theory data (PBEsol) for crystalline KMgMo at its relaxed geometry.

## Properties
Formation enthalpy at 0 K (meV per atom): 914

Unit cell a=8.7592 b=8.7592 c=8.7592 alpha=161.54 beta=161.54 gamma=26.22
Element x y z (fractional)
K1 0.0000 0.0000 0.0000
Mg1 0.7031 0.7031 0.0000
Mo1 0.3273 0.3273 0.0000



8.
Density functional theory data (PBEsol) for crystalline K2MgMo at its relaxed geometry.

## Properties
Formation enthalpy at 0 K (meV per atom): 1207

Unit cell a=2.8338 b=6.1826 c=5.9037 alpha=90.00 beta=92.35 gamma=90.00
Element x y z (fractional)
K1 0.2174 0.0000 0.2437
K2 0.7826 0.0000 0.7563
Mg1 0.0000 0.5000 0.5000
Mo1 0.5000 0.5000 0.0000



9.
Density functional theory data (PBEsol) for crystalline K2MgMo at its relaxed geometry.

## Properties
Formation enthalpy at 0 K (meV per atom): 1115

Unit cell a=2.9447 b=2.9447 c=12.6299 alpha=90.00 beta=90.00 gamma=112.40
Element x y z (fractional)
K1 0.0000 0.0000 0.2342
K2 0.0000 0.0000 0.7658
Mg1 0.5000 0.5000 0.5000
Mo1 0.5000 0.5000 0.0000



10.
Density functional theory data (PBEsol) for crystalline K2MgZrMo4O16 at its relaxed geometry.

## Properties
E_form (uncorrected) (eV per atom): -2.30

Unit cell a=9.1801 b=9.1801 c=10.0178 alpha=122.86 beta=122.86 gamma=36.70
Element x y z (fractional)
K1 0.2436 0.2436 0.2317
K2 0.7564 0.7564 0.7683
Mg1 0.0000 0.0000 0.0000
Zr1 0.5000 0.5000 0.5000
Mo1 0.1291 0.1291 0.4577
Mo2 0.3751 0.3751 0.0379
Mo3 0.6249 0.6249 0.9621
Mo4 0.8709 0.8709 0.5423
O1 0.0887 0.0887 0.2540
O2 0.1637 0.6650 0.9954
O3 0.1655 0.6571 0.4953
O4 0.2488 0.2488 0.5731
O5 0.2545 0.2545 0.9145
O6 0.3350 0.8363 0.0046
O7 0.3429 0.8345 0.5047
O8 0.4136 0.4136 0.2499
O9 0.5864 0.5864 0.7501
O10 0.6571 0.1655 0.4953
O11 0.6650 0.1637 0.9954
O12 0.7455 0.7455 0.0855
O13 0.7512 0.7512 0.4269
O14 0.8345 0.3429 0.5047
O15 0.8363 0.3350 0.0046
O16 0.9113 0.9113 0.7460



no.,raw total energy (hartree per atom)
1,-0.042
2,-0.045
3,-0.173
4,-0.106
5,-0.100
6,-0.096
7,-0.145
8,-0.100
9,-0.104
10,-0.305